A plane-wave DFT calculation with GGA-PBE was carried out for CaHfMn3 after structural relaxation. Values from VASP.

Quantum ESPRESSO input file:
```
&SYSTEM
  ibrav = 0, nat = 5, ntyp = 3
/
ATOMIC_SPECIES
Mn 54.94 Mn.upf
Hf 178.49 Hf.upf
Ca 40.08 Ca.upf
CELL_PARAMETERS angstrom
-4.0472 -2.6706 0.7482
2.7730 -3.8745 1.1707
-0.0464 1.3886 4.7055
ATOMIC_POSITIONS crystal
Mn 0.0000 0.0000 0.5000
Mn 0.5000 0.0000 0.0000
Hf 0.0000 0.0000 0.0000
Mn 0.0000 0.5000 0.0000
Ca 0.5000 0.5000 0.5000
```

Properties
As for the space-group type: Pm-3m, No. 221. Its volume is 118 Å³/f.u. For the total magnetic moment, the calculation gives 9.4 μB per cell. For the energy of formation, the calculation gives 0.92 eV/atom. Its crystal system is cubic. The calculation puts the excess energy over the best structure of this formula in the dataset at 0.00 kcal/mol of atoms.

***

A plane-wave DFT calculation with GGA-PBE was carried out for CaHf3Mn after structural relaxation. Values from VASP.

Quantum ESPRESSO input file:
```
&SYSTEM
  ibrav = 0, nat = 5, ntyp = 3
/
ATOMIC_SPECIES
Hf 178.49 Hf.upf
Mn 54.94 Mn.upf
Ca 40.08 Ca.upf
CELL_PARAMETERS angstrom
-0.2976 -4.7760 1.1877
4.4909 0.2232 2.0228
-2.0132 1.2039 4.3367
ATOMIC_POSITIONS crystal
Hf 0.0000 0.5000 0.0000
Hf 0.0000 0.0000 0.5000
Mn 0.0000 0.0000 0.0000
Ca 0.5000 0.5000 0.5000
Hf 0.5000 0.0000 0.0000
```

Properties
As for the space-group type: Pm-3m, No. 221. Its volume is 120 Å³/f.u. For the total magnetic moment, the calculation gives 0.0 μB per cell. For the energy of formation, the calculation gives 0.34 eV/atom. Its crystal system is cubic. The calculation puts the excess energy over the best structure of this formula in the dataset at 0.00 kcal/mol of atoms.

***

A plane-wave DFT calculation with GGA-PBE was carried out for CaHf3Mn after structural relaxation. Values from VASP.

Quantum ESPRESSO input file:
```
&SYSTEM
  ibrav = 0, nat = 5, ntyp = 3
/
ATOMIC_SPECIES
Hf 178.49 Hf.upf
Ca 40.08 Ca.upf
Mn 54.94 Mn.upf
CELL_PARAMETERS angstrom
4.8789 0.0000 0.0000
0.0000 4.8789 0.0000
0.0000 0.0000 4.8789
ATOMIC_POSITIONS crystal
Hf 0.0000 0.0000 0.5000
Hf 0.5000 0.0000 0.0000
Ca 0.0000 0.0000 0.0000
Hf 0.0000 0.5000 0.0000
Mn 0.5000 0.5000 0.5000
```

Properties
As for the space-group type: Pm-3m, No. 221. Its volume is 116 Å³/f.u. For the total magnetic moment, the calculation gives 0.3 μB per cell. For the energy of formation, the calculation gives 2.33 eV/atom. Its crystal system is cubic. The calculation puts the excess energy over the best structure of this formula in the dataset at 46.08 kcal/mol of atoms.

***

A plane-wave DFT calculation with GGA-PBE was carried out for CaHf2Mn after structural relaxation. Values from VASP.

Quantum ESPRESSO input file:
```
&SYSTEM
  ibrav = 0, nat = 4, ntyp = 3
/
ATOMIC_SPECIES
Hf 178.49 Hf.upf
Ca 40.08 Ca.upf
Mn 54.94 Mn.upf
CELL_PARAMETERS angstrom
4.3174 -1.8781 1.0291
0.6052 -4.7812 0.0201
2.5960 -2.1149 -3.4661
ATOMIC_POSITIONS crystal
Hf 0.7500 0.7500 0.7500
Ca 0.0000 0.0000 0.0000
Hf 0.2500 0.2500 0.2500
Mn 0.5000 0.5000 0.5000
```

Properties
As for the space-group type: Fm-3m, No. 225. Its volume is 79 Å³/f.u. For the total magnetic moment, the calculation gives 0.0 μB per cell. For the energy of formation, the calculation gives 0.53 eV/atom. Its crystal system is cubic. The calculation puts the excess energy over the best structure of this formula in the dataset at 0.00 kcal/mol of atoms.

***

Number 4 is which compound?
CaHf2Mn

***

energy of formation of number 3 (CaHf3Mn)?
2.33 eV/atom

***

Which formula does entry 1 have?
CaHfMn3